Density functional theory data (PBE) for crystalline RbSrSnSe3 at its relaxed geometry.

a = 4.8804 Å, b = 7.9400 Å, c = 12.0631 Å
α = 90.00°, β = 90.00°, γ = 107.90°
Closest atoms and distances in Å follow each position.
Sites, in units of the cell vectors:
Se 0.6230 0.2459 0.4208  1 Sn 2.61
Sn 0.4828 0.9656 0.7500  4 Se 2.61-2.75
Se 0.0661 0.1322 0.7500  2 Sn 2.75
Se 0.6230 0.2459 0.0792  1 Sn 2.61
Se 0.3770 0.7541 0.9208  1 Sn 2.61
Sn 0.5172 0.0344 0.2500  4 Se 2.61-2.75
Sr 0.0000 0.0000 0.5000  6 Se 3.18-3.21
Se 0.9339 0.8678 0.2500  2 Sn 2.75
Se 0.3770 0.7541 0.5792  1 Sn 2.61
Rb 0.2448 0.4895 0.2500  6 Se 3.69-3.76, 1 Sn 4.12
Sr 0.0000 0.0000 0.0000  6 Se 3.18-3.21
Rb 0.7552 0.5105 0.7500  6 Se 3.69-3.76, 1 Sn 4.12

Results
crystal system = orthorhombic
formation energy from raw total energies = -7.057 eV/f.u.

---

Density functional theory data (PBE) for crystalline BaAcNi2As2 at its relaxed geometry.

a = 4.2201 Å, b = 4.2201 Å, c = 9.1548 Å
α = 90.00°, β = 90.00°, γ = 120.00°
Closest atoms and distances in Å follow each position.
Sites, in units of the cell vectors:
Ni 0.6667 0.3333 0.2323  3 As 2.44
Ni 0.3333 0.6667 0.7677  3 As 2.44
Ac 0.0000 0.0000 0.0000  6 Ni 3.23, 6 As 3.27
As 0.3333 0.6667 0.2390  3 Ni 2.44
As 0.6667 0.3333 0.7610  3 Ni 2.44
Ba 0.0000 0.0000 0.5000  6 As 3.41, 6 Ni 3.46

Results
crystal system = trigonal
calculated formation energy = -5.2 eV/f.u.

---

Density functional theory data (PBE) for crystalline PmCd9Ni3 at its relaxed geometry.

a = 5.4816 Å, b = 7.1988 Å, c = 7.4620 Å
α = 82.38°, β = 68.45°, γ = 68.83°
Closest atoms and distances in Å follow each position.
Sites, in units of the cell vectors:
Cd 0.3383 0.6729 0.6488  3 Ni 2.77-3.04, 4 Cd 2.90-3.06
Cd 0.5187 0.2132 0.7760  3 Ni 2.73-2.78, 5 Cd 2.86-3.06
Cd 0.7053 0.7868 0.7760  3 Ni 2.73-2.78, 5 Cd 2.86-3.06
Cd 0.0129 0.3271 0.6488  3 Ni 2.77-3.04, 4 Cd 2.90-3.06
Ni 0.5000 0.0000 0.5000  8 Cd 2.73-2.81, 2 Ni 2.74
Cd 0.6617 0.3271 0.3512  3 Ni 2.77-3.04, 4 Cd 2.90-3.06
Ni 0.5000 0.5000 0.0000  10 Cd 2.74-3.04
Ni 0.0000 0.0000 0.5000  8 Cd 2.73-2.81, 2 Ni 2.74
Cd 0.0000 0.5000 0.0000  2 Ni 2.74, 8 Cd 2.89-3.01
Cd 0.9871 0.6729 0.3512  3 Ni 2.77-3.04, 4 Cd 2.90-3.06
Cd 0.2947 0.2132 0.2240  3 Ni 2.73-2.78, 5 Cd 2.86-3.06
Pm 0.0000 0.0000 0.0000  14 Cd 3.28-3.60, 2 Ni 3.65
Cd 0.4813 0.7868 0.2240  3 Ni 2.73-2.78, 5 Cd 2.86-3.06

Results
crystal system = monoclinic
calculated formation energy = -1.2 eV/f.u.

---

Number 1: E -4.027 eV/atom. Number 2: E -5.343 eV/atom. Number 3: E -2.423 eV/atom.